[1]
Compound: KRuCl2
Source: Alexandria
Functional: GGA-PBE
Structure: relaxed

Geometry as extended XYZ:
```
4
Lattice="3.528 0.000 0.000 0.000 3.739 0.000 0.000 0.000 6.701" Properties=species:S:1:pos:R:3 pbc="T T T"
K 0.000 0.000 0.000
Ru 1.764 0.000 3.351
Cl 1.764 1.870 1.838
Cl 1.764 1.870 4.863
```

Results
formation energy from raw total energies	-1.9	eV/f.u.
energy above the lowest structure with this stoichiometry	15	meV per atom
SG	Pmmm, No. 47

[2]
Compound: HgGeSbO4
Source: Alexandria
Functional: GGA-PBE
Structure: relaxed

Geometry as extended XYZ:
```
14
Lattice="5.182 -3.550 0.000 5.182 3.550 0.000 -2.323 0.000 6.055" Properties=species:S:1:pos:R:3 pbc="T T T"
Hg -0.465 0.000 1.308
Hg 8.507 0.000 4.747
Ge 3.229 0.000 1.264
Ge 4.813 0.000 4.791
Sb 1.361 0.000 3.645
Sb 6.680 0.000 2.409
O 2.395 1.303 2.218
O 0.473 0.000 5.609
O 3.055 0.000 4.689
O 2.395 -1.303 2.218
O 5.647 1.303 3.836
O 4.987 0.000 1.366
O 7.569 0.000 0.446
O 5.647 -1.303 3.836
```

Results
formation energy from raw total energies	-7.3	eV/f.u.
SG	C2/m, No. 12

[3]
Compound: Cs3Cd4Sn2
Source: Alexandria
Functional: GGA-PBE
Structure: relaxed

Geometry as extended XYZ:
```
9
Lattice="7.001 -2.543 0.000 7.001 2.543 0.000 -3.356 0.000 10.191" Properties=species:S:1:pos:R:3 pbc="T T T"
Cs 0.000 0.000 0.000
Cs 3.188 0.000 6.391
Cs 7.459 0.000 3.800
Cd -0.917 0.000 6.499
Cd 0.576 0.000 9.450
Cd 10.071 0.000 0.741
Cd 11.564 0.000 3.693
Sn 3.540 0.000 2.338
Sn 7.106 0.000 7.853
```

Results
energy above the lowest structure with this stoichiometry	0	meV per atom
SG	C2/m, No. 12

[4]
Compound: Cr2HRuW
Source: Alexandria
Functional: GGA-PBE
Structure: relaxed

Geometry as extended XYZ:
```
5
Lattice="3.791 0.000 0.000 0.000 3.791 0.000 0.000 0.000 3.901" Properties=species:S:1:pos:R:3 pbc="T T T"
Cr 0.000 1.896 0.000
Cr 1.896 0.000 0.000
H 0.000 0.000 0.000
Ru 1.896 1.896 1.951
W 0.000 0.000 1.951
```

Results
energy above the lowest structure with this stoichiometry	23	meV per atom
SG	P4/mmm, No. 123

Short version: E = -3.980, -5.164, -1.711, -8.802 eV/atom, in the order given.
Short version: magnetization = 0.0, 0.0, 0.0, 0.0 μB/cell, in the order given.